Record 1
A plane-wave DFT calculation with GGA-PBE was carried out for an optimized crystal structure of CrNiRh2.

Geometry as CIF:
```
data_CrNiRh2
_chemical_formula_sum 'Cr1 Ni1 Rh2'
_cell_length_a 4.6274
_cell_length_b 4.6274
_cell_length_c 4.6257
_cell_angle_alpha 133.02
_cell_angle_beta 133.02
_cell_angle_gamma 68.65
_symmetry_space_group_name_H-M 'P 1'
_symmetry_Int_Tables_number 1
loop_
_symmetry_equiv_pos_as_xyz
'x,y,z'
loop_
_atom_site_label
_atom_site_fract_x
_atom_site_fract_y
_atom_site_fract_z
_atom_site_occupancy
Ni1 0.2500 0.7500 0.5000 1
Rh1 0.0000 0.0000 0.0000 1
Rh2 0.7500 0.2500 0.5000 1
Cr1 0.5000 0.5000 0.0000 1
```

Summary:
- Final energy: -30.23 eV per cell
- Crystal system: tetragonal

Record 2
A plane-wave DFT calculation with GGA-PBE was carried out for an optimized crystal structure of Cr3Ni2Rh3.

Geometry as CIF:
```
data_Cr3Ni2Rh3
_chemical_formula_sum 'Cr3 Ni2 Rh3'
_cell_length_a 3.6710
_cell_length_b 3.7222
_cell_length_c 7.9272
_cell_angle_alpha 103.58
_cell_angle_beta 103.39
_cell_angle_gamma 90.00
_symmetry_space_group_name_H-M 'P 1'
_symmetry_Int_Tables_number 1
loop_
_symmetry_equiv_pos_as_xyz
'x,y,z'
loop_
_atom_site_label
_atom_site_fract_x
_atom_site_fract_y
_atom_site_fract_z
_atom_site_occupancy
Cr1 0.1278 0.1278 0.2556 1
Cr2 0.0000 0.5000 0.0000 1
Cr3 0.8722 0.8722 0.7444 1
Ni1 0.7487 0.2487 0.4974 1
Ni2 0.2513 0.7513 0.5026 1
Rh1 0.6288 0.6288 0.2576 1
Rh2 0.3712 0.3712 0.7423 1
Rh3 0.5000 0.0000 0.0000 1
```

Summary:
- Final energy: -62.89 eV per cell
- Crystal system: orthorhombic

Record 3
A plane-wave DFT calculation with GGA-PBE was carried out for an optimized crystal structure of CrNiRh4.

Geometry as CIF:
```
data_CrNiRh4
_chemical_formula_sum 'Cr1 Ni1 Rh4'
_cell_length_a 5.0656
_cell_length_b 5.0656
_cell_length_c 5.0656
_cell_angle_alpha 60.00
_cell_angle_beta 60.00
_cell_angle_gamma 60.00
_symmetry_space_group_name_H-M 'P 1'
_symmetry_Int_Tables_number 1
loop_
_symmetry_equiv_pos_as_xyz
'x,y,z'
loop_
_atom_site_label
_atom_site_fract_x
_atom_site_fract_y
_atom_site_fract_z
_atom_site_occupancy
Cr1 0.2500 0.2500 0.2500 1
Ni1 0.0000 0.0000 0.0000 1
Rh1 0.6251 0.6251 0.1246 1
Rh2 0.6251 0.1246 0.6251 1
Rh3 0.6251 0.6251 0.6251 1
Rh4 0.1246 0.6251 0.6251 1
```

Summary:
- Crystal system: cubic
- Distance to the lowest polymorph of the same formula: 0.423 eV per atom